Li4Ni11O22 | Alexandria | PBE with a Hubbard U | optimized geometry; M_tot = 4.00 μB per cell; space-group type = P-1, No. 2; calculated volume = 378 Å³/cell; VASP energy = -175.11 eV/f.u.; calculated density = 4.51 Mg/m³
1.0
7.4485 0.0000 0.0000
3.1730 7.0039 0.0000
2.8785 -0.2032 7.2413
Li Ni O
4 11 22
Cartesian
2.6803 0.6796 2.8689
6.7393 3.6656 6.8000
6.7606 3.1351 0.4413
10.8196 6.1211 4.3724
3.0257 3.4004 3.6207
3.6247 1.4463 5.5928
4.5151 6.6722 0.3316
5.0978 4.7324 2.3103
5.7093 2.7167 4.2416
6.3093 0.7933 6.2643
7.1906 6.0074 0.9770
7.7906 4.0841 2.9997
8.4021 2.0683 4.9310
8.9848 0.1285 6.9097
9.8753 5.3544 1.6485
4.0085 6.2471 2.1480
5.8803 5.4524 7.1525
4.5143 4.4407 4.0580
3.5151 3.8026 1.8372
4.0865 1.8573 3.7972
5.2391 2.3177 6.0489
2.9402 0.5520 0.8059
4.7096 -0.0808 5.7735
6.5901 5.7666 2.7185
5.6847 4.9641 0.5458
6.1905 3.2236 2.4730
7.3094 3.5771 4.7683
7.8152 1.8366 6.6955
6.9098 1.0341 4.5229
8.7903 6.8815 1.4678
10.5598 6.2487 6.4354
8.2609 4.4830 1.1924
9.4135 4.9434 3.4441
9.9848 2.9982 5.4041
8.9856 2.3600 3.1833
7.6196 1.3483 0.0888
9.4914 0.5536 5.0933

LiNi2O3 | Alexandria | PBE with a Hubbard U | optimized geometry; M_tot = 12.00 μB per cell; E above lowest polymorph = 0.00 eV/f.u.; space-group type = C2/c, No. 15; calculated volume = 214 Å³/cell; VASP energy = -29.19 eV/f.u.; calculated density = 5.35 Mg/m³
1.0
2.5362 -4.4150 0.0000
2.5362 4.4150 0.0000
-1.7548 0.0000 9.5551
Li Ni O
4 8 12
Cartesian
1.2201 3.6681 7.1663
2.0975 2.1460 2.3888
1.2201 -2.1460 7.1663
2.0975 -3.6681 2.3888
0.3907 2.2075 4.7776
1.2683 0.7306 0.0047
0.3910 -0.7306 4.7823
1.2201 0.7608 7.1663
1.2681 -2.2075 0.0000
2.0975 -0.7608 2.3888
2.9266 0.7306 4.7729
2.0492 -0.7306 9.5504
-0.3930 0.8505 5.8869
0.4795 2.2000 8.4600
0.4844 -0.8505 1.1093
1.2596 0.6640 3.5845
1.9607 2.2000 5.8727
0.3822 -0.6640 8.3620
2.9354 0.6640 1.1931
1.3569 -2.2000 3.6824
2.0580 -0.6640 5.9706
2.8331 0.8505 8.4458
2.8380 -2.2000 1.0951
3.7105 -0.8505 3.6682

LiNiO2 | Alexandria | PBE with a Hubbard U | optimized geometry; M_tot = 6.00 μB per cell; space-group type = I-42d, No. 122; calculated volume = 87 Å³/cell; VASP energy = -18.96 eV/f.u.; calculated density = 3.71 Mg/m³
1.0
-2.2408 2.2408 4.3491
2.2408 -2.2408 4.3491
2.2408 2.2408 -4.3491
Li Ni O
2 2 4
Cartesian
0.0000 0.0000 0.0000
0.0000 2.2408 2.1745
2.2408 0.0000 2.1745
0.0000 0.0000 4.3491
1.1204 -1.0250 3.2618
1.2158 1.1204 1.0873
1.1204 3.2658 -1.0873
1.0250 1.1204 5.4363

Li3Ni4O8 | Alexandria | PBE with a Hubbard U | optimized geometry; M_tot = 3.00 μB per cell; E above lowest polymorph = 0.06 eV/f.u.; space-group type = C2/m, No. 12; calculated volume = 136 Å³/cell; VASP energy = -72.48 eV/f.u.; calculated density = 4.69 Mg/m³
1.0
5.0523 -2.8484 0.0000
5.0523 2.8484 0.0000
-3.1072 0.0000 4.7173
Li Ni O
3 4 8
Cartesian
0.0000 0.0000 0.0000
0.9726 1.4242 2.3587
0.9726 -1.4242 2.3587
2.5262 1.4242 0.0000
2.5262 -1.4242 0.0000
5.0523 0.0000 0.0000
3.4987 0.0000 2.3587
1.8205 0.0000 1.0279
0.3445 0.0000 3.7370
4.2835 1.2617 1.1612
2.7140 1.2617 3.5561
4.2835 -1.2617 1.1612
2.7140 -1.2617 3.5561
6.6530 0.0000 0.9804
5.1770 0.0000 3.6894

Li2Ni2O3 | Alexandria | PBE with a Hubbard U | optimized geometry; M_tot = 4.00 μB per cell; E above lowest polymorph = 0.00 eV/f.u.; space-group type = C2/m, No. 12; calculated volume = 71 Å³/cell; VASP energy = -33.28 eV/f.u.; calculated density = 4.16 Mg/m³
1.0
4.9652 -1.4841 0.0000
4.9652 1.4841 0.0000
-1.6161 0.0000 4.8511
Li Ni O
2 2 3
Cartesian
1.1305 0.0000 1.6416
7.1838 0.0000 3.2096
3.5821 0.0000 0.5375
4.7322 0.0000 4.3136
0.0000 0.0000 0.0000
0.9483 0.0000 3.5670
7.3660 0.0000 1.2841

LiNi2O4 | Alexandria | PBE with a Hubbard U | optimized geometry; M_tot = 2.00 μB per cell; E above lowest polymorph = 0.31 eV/f.u.; space-group type = Imma, No. 74; calculated volume = 133 Å³/cell; VASP energy = -33.38 eV/f.u.; calculated density = 4.69 Mg/m³
1.0
-2.8330 2.8574 4.1223
2.8330 -2.8574 4.1223
2.8330 2.8574 -4.1223
Li Ni O
2 4 8
Cartesian
0.0000 0.0000 0.0000
0.0000 2.8574 0.0000
2.8330 0.0000 0.0000
-1.4165 1.4287 2.0612
0.0000 0.0000 4.1223
1.4165 1.4287 2.0612
1.5399 1.4287 0.1928
4.1261 1.4287 0.1928
0.0000 0.1931 2.0334
2.8330 0.1931 2.0889
0.0000 2.6643 2.0334
2.8330 2.6643 2.0889
-1.2931 1.4287 3.9295
1.2931 1.4287 3.9295